This record from Alexandria via LeMat-Bulk describes a relaxed structure of LaSe2SN. The functional is PBE-GGA.

Values from the calculation:
Calculated volume   98.41 Å³/cell
Energy relative to the lowest polymorph listed for this composition   0.000 kcal/mol of atoms
D(E_F)   2.1 states/eV/cell
Formation energy from raw total energies   -0.125 eV/atom

```
5
Lattice="5.176 0.000 0.000 0.000 5.176 0.000 0.000 0.000 3.673" Properties=species:S:1:pos:R:3 pbc="T T T"
La 0.000 0.000 0.000
Se 0.000 2.588 1.837
Se 2.588 0.000 1.837
S 2.588 2.588 1.837
N 2.588 2.588 0.000
```